No. 1
{
  "formula": "AlIrW2",
  "functional": "PBE-GGA",
  "state": "relaxed",
  "lattice": [[-1.729, 2.131, 4.170], [1.729, -2.131, 4.170], [1.729, 2.131, -4.170]],
  "species": ["Al", "Ir", "W", "W"],
  "fractional_positions": [[0.000, 0.000, 0.000], [0.240, 0.740, 0.500], [0.496, 0.496, 0.000], [0.740, 0.240, 0.500]],
  "m_tot_mub_per_atom": 0.000,
  "formation_enthalpy_0k_ev_per_atom": -0.05
}

=====

No. 2
{
  "formula": "AcCePdRu",
  "functional": "PBE-GGA",
  "state": "relaxed",
  "lattice": [[0.000, 3.625, 3.625], [3.625, 0.000, 3.625], [3.625, 3.625, 0.000]],
  "species": ["Ac", "Ce", "Pd", "Ru"],
  "fractional_positions": [[0.000, 0.000, 0.000], [0.500, 0.500, 0.500], [0.250, 0.250, 0.250], [0.750, 0.750, 0.750]],
  "m_tot_mub_per_atom": 0.118,
  "formation_enthalpy_0k_ev_per_atom": -0.36
}

=====

No. 3
{
  "formula": "BaSrAs2",
  "functional": "PBE-GGA",
  "state": "relaxed",
  "lattice": [[4.164, 0.000, 0.000], [0.000, 4.164, 0.000], [0.000, 0.000, 6.867]],
  "species": ["Ba", "Sr", "As", "As"],
  "fractional_positions": [[0.000, 0.000, 0.000], [0.000, 0.000, 0.500], [0.500, 0.500, 0.301], [0.500, 0.500, 0.699]],
  "polymorph_energy_mev_per_atom": 89,
  "m_tot_mub_per_atom": 0.000,
  "formation_enthalpy_0k_ev_per_atom": -0.89
}

=====

No. 4
{
  "formula": "LaMg3Bi3",
  "functional": "PBE-GGA",
  "state": "relaxed",
  "lattice": [[11.709, 0.000, 0.000], [-5.854, 10.140, 0.000], [0.000, 0.000, 4.571]],
  "species": ["La", "La", "Mg", "Mg", "Mg", "Mg", "Mg", "Mg", "Bi", "Bi", "Bi", "Bi", "Bi", "Bi"],
  "fractional_positions": [[0.333, 0.667, 0.250], [0.667, 0.333, 0.750], [0.043, 0.629, 0.750], [0.371, 0.414, 0.750], [0.414, 0.043, 0.250], [0.586, 0.957, 0.750], [0.629, 0.586, 0.250], [0.957, 0.371, 0.250], [0.128, 0.427, 0.750], [0.299, 0.872, 0.750], [0.427, 0.299, 0.250], [0.573, 0.701, 0.750], [0.701, 0.128, 0.250], [0.872, 0.573, 0.250]],
  "m_tot_mub_per_atom": 0.000,
  "formation_enthalpy_0k_ev_per_atom": -0.38
}

=====

No. 5
{
  "formula": "AlZnC3",
  "functional": "PBE-GGA",
  "state": "relaxed",
  "lattice": [[3.949, 0.000, 0.000], [0.000, 3.949, 0.000], [0.000, 0.000, 3.949]],
  "species": ["Al", "Zn", "C", "C", "C"],
  "fractional_positions": [[0.000, 0.000, 0.000], [0.500, 0.500, 0.500], [0.000, 0.500, 0.500], [0.500, 0.000, 0.500], [0.500, 0.500, 0.000]],
  "polymorph_energy_mev_per_atom": 425,
  "m_tot_mub_per_atom": 0.000,
  "formation_enthalpy_0k_ev_per_atom": 2.71
}

=====

No. 6
{
  "formula": "YHoEr2Tm6",
  "functional": "PBE-GGA",
  "state": "relaxed",
  "lattice": [[4.459, -7.438, 0.000], [4.459, 7.438, 0.000], [-1.194, 0.000, 9.333]],
  "species": ["Y", "Y", "Ho", "Ho", "Er", "Er", "Er", "Er", "Tm", "Tm", "Tm", "Tm", "Tm", "Tm", "Tm", "Tm", "Tm", "Tm", "Tm", "Tm"],
  "fractional_positions": [[0.023, 0.977, 0.750], [0.977, 0.023, 0.250], [0.409, 0.591, 0.250], [0.591, 0.409, 0.750], [0.196, 0.305, 0.544], [0.305, 0.196, 0.044], [0.695, 0.804, 0.956], [0.804, 0.695, 0.456], [0.021, 0.571, 0.684], [0.127, 0.751, 0.057], [0.249, 0.873, 0.443], [0.289, 0.502, 0.881], [0.429, 0.979, 0.816], [0.498, 0.711, 0.619], [0.502, 0.289, 0.381], [0.571, 0.021, 0.184], [0.711, 0.498, 0.119], [0.751, 0.127, 0.557], [0.873, 0.249, 0.943], [0.979, 0.429, 0.316]],
  "m_tot_mub_per_atom": 0.000,
  "formation_enthalpy_0k_ev_per_atom": 0.12
}

=====

No. 7
{
  "formula": "MnGe2Ir",
  "functional": "PBE-GGA",
  "state": "relaxed",
  "lattice": [[2.062, 1.190, 4.564], [-2.062, 1.190, 4.564], [0.000, -2.381, 4.564]],
  "species": ["Mn", "Ge", "Ge", "Ir"],
  "fractional_positions": [[0.000, 0.000, 0.000], [0.588, 0.588, 0.588], [0.781, 0.781, 0.781], [0.194, 0.194, 0.194]],
  "m_tot_mub_per_atom": 1.026,
  "formation_enthalpy_0k_ev_per_atom": -0.10
}

=====

No. 8
{
  "formula": "RbZnSnO4",
  "functional": "PBE-GGA",
  "state": "relaxed",
  "lattice": [[-3.001, 3.001, 3.845], [3.001, -3.001, 3.845], [3.001, 3.001, -3.845]],
  "species": ["Rb", "Zn", "Sn", "O", "O", "O", "O"],
  "fractional_positions": [[0.000, 0.000, 0.000], [0.750, 0.250, 0.500], [0.500, 0.500, 0.000], [0.117, 0.493, 0.891], [0.507, 0.398, 0.624], [0.602, 0.226, 0.109], [0.774, 0.883, 0.376]],
  "final_energy_ev_per_atom": -4.94,
  "m_tot_mub_per_atom": 0.153
}

=====

No. 9
{
  "formula": "TaAlTeN2",
  "functional": "PBE-GGA",
  "state": "relaxed",
  "lattice": [[4.034, 0.000, 0.000], [0.000, 4.034, 0.000], [0.000, 0.000, 5.806]],
  "species": ["Ta", "Al", "Te", "N", "N"],
  "fractional_positions": [[0.000, 0.000, 0.000], [0.500, 0.500, 0.500], [0.000, 0.000, 0.500], [0.000, 0.500, 0.000], [0.500, 0.000, 0.000]],
  "polymorph_energy_mev_per_atom": 0,
  "m_tot_mub_per_atom": 0.000
}

=====

No. 10
{
  "formula": "SmTm4Pb5",
  "functional": "PBE-GGA",
  "state": "relaxed",
  "lattice": [[3.527, 0.000, 0.000], [0.000, 3.527, 0.000], [0.000, 0.000, 22.317]],
  "species": ["Sm", "Tm", "Tm", "Tm", "Tm", "Pb", "Pb", "Pb", "Pb", "Pb"],
  "fractional_positions": [[0.000, 0.000, 0.000], [0.000, 0.000, 0.202], [0.000, 0.000, 0.401], [0.000, 0.000, 0.599], [0.000, 0.000, 0.798], [0.500, 0.500, 0.104], [0.500, 0.500, 0.302], [0.500, 0.500, 0.500], [0.500, 0.500, 0.698], [0.500, 0.500, 0.896]],
  "polymorph_energy_mev_per_atom": 0,
  "m_tot_mub_per_atom": 0.000,
  "formation_enthalpy_0k_ev_per_atom": -0.39
}

=====

No. 11
{
  "formula": "HfCu",
  "functional": "PBE-GGA",
  "state": "relaxed",
  "lattice": [[5.101, 0.000, 0.000], [0.000, 5.234, 0.000], [0.000, 0.000, 10.255]],
  "species": ["Hf", "Hf", "Hf", "Hf", "Hf", "Hf", "Hf", "Hf", "Cu", "Cu", "Cu", "Cu", "Cu", "Cu", "Cu", "Cu"],
  "fractional_positions": [[0.152, 0.106, 0.199], [0.153, 0.584, 0.989], [0.347, 0.416, 0.489], [0.348, 0.894, 0.699], [0.652, 0.394, 0.801], [0.653, 0.916, 0.011], [0.847, 0.084, 0.511], [0.848, 0.606, 0.301], [0.145, 0.373, 0.727], [0.158, 0.097, 0.928], [0.342, 0.903, 0.428], [0.355, 0.627, 0.227], [0.645, 0.127, 0.273], [0.658, 0.403, 0.072], [0.842, 0.597, 0.572], [0.855, 0.873, 0.773]],
  "m_tot_mub_per_atom": 0.000,
  "formation_enthalpy_0k_ev_per_atom": -0.09
}

=====

No. 12
{
  "formula": "Hf4Cu2C",
  "functional": "PBE-GGA",
  "state": "relaxed",
  "lattice": [[-2.213, 2.213, 6.373], [2.213, -2.213, 6.373], [2.213, 2.213, -6.373]],
  "species": ["Hf", "Hf", "Hf", "Hf", "Cu", "Cu", "C"],
  "fractional_positions": [[0.000, 0.500, 0.500], [0.181, 0.181, 0.000], [0.500, 0.000, 0.500], [0.819, 0.819, 0.000], [0.378, 0.378, 0.000], [0.622, 0.622, 0.000], [0.000, 0.000, 0.000]],
  "polymorph_energy_mev_per_atom": 0,
  "m_tot_mub_per_atom": 0.000,
  "formation_enthalpy_0k_ev_per_atom": -0.20
}